Record 1
V2C: relaxed, GGA-PBEsol.

Cell: 2.9023 2.9023 9.2305 Å, 90.00 90.00 120.00°
With the nearest neighbours (Å) after each atom.
Positions (direct):
V  0.3333  0.6667  0.1178  3 C 2.00
V  0.3333  0.6667  0.3822  3 C 2.00
V  0.6667  0.3333  0.6178  3 C 2.00
V  0.6667  0.3333  0.8822  3 C 2.00
C  0.0000  0.0000  0.0000  6 V 2.00
C  0.0000  0.0000  0.5000  6 V 2.00

---

Record 2
WC5: relaxed, GGA-PBEsol.

Cell: 2.5280 6.8640 6.8640 Å, 22.03 90.00 90.00°
With the nearest neighbours (Å) after each atom.
Positions (direct):
W  0.0000  0.0000  0.0000  6 C 2.22-2.27
C  0.0000  0.3312  0.3312  4 C 1.57-1.58
C  0.0000  0.7652  0.7652  4 C 1.56-1.58
C  0.5000  0.1355  0.1355  2 C 1.56
C  0.5000  0.3997  0.3997  2 C 1.57
C  0.5000  0.6979  0.6979  4 C 1.56

Output
For the energy above the most stable polymorph in this dataset, the calculation gives 0 meV/atom.

---

Record 3
WC: relaxed, GGA-PBEsol.

Cell: 5.1836 5.1836 2.8371 Å, 90.00 90.00 120.00°
With the nearest neighbours (Å) after each atom.
Positions (direct):
W  0.0000  0.0000  0.0000  3 C 2.02
W  0.3333  0.6667  0.5000  6 C 2.14
W  0.6667  0.3333  0.5000  6 C 2.14
C  0.0000  0.3889  0.0000  5 W 2.02-2.14
C  0.3889  0.0000  0.0000  5 W 2.02-2.14
C  0.6111  0.6111  0.0000  5 W 2.02-2.14

Output
For the energy above the most stable polymorph in this dataset, the calculation gives 353 meV/atom.

---

Record 4
WC5: relaxed, GGA-PBEsol.

Cell: 3.8994 3.8994 4.0483 Å, 90.00 90.00 120.00°
With the nearest neighbours (Å) after each atom.
Positions (direct):
W  0.0000  0.0000  0.0000  12 C 2.20-2.25
C  0.0000  0.7782  0.5000  2 C 1.50
C  0.2218  0.2218  0.5000  2 C 1.50
C  0.3333  0.6667  0.0000  3 W 2.25, 3 C 2.25
C  0.6667  0.3333  0.0000  3 W 2.25, 3 C 2.25
C  0.7782  0.0000  0.5000  2 C 1.50

Output
For the energy above the most stable polymorph in this dataset, the calculation gives 1856 meV/atom.

---

Record 5
W3C4: relaxed, GGA-PBEsol.

Cell: 4.2613 4.2613 4.2613 Å, 90.00 90.00 90.00°
With the nearest neighbours (Å) after each atom.
Positions (direct):
W  0.0000  0.0000  0.5000  6 C 2.13
W  0.0000  0.5000  0.0000  6 C 2.13
W  0.5000  0.0000  0.0000  6 C 2.13
C  0.0000  0.0000  0.0000  6 W 2.13
C  0.0000  0.5000  0.5000  4 W 2.13
C  0.5000  0.0000  0.5000  4 W 2.13
C  0.5000  0.5000  0.0000  4 W 2.13

---

Record 6
W3C: relaxed, GGA-PBEsol.

Cell: 2.7029 2.7029 7.1598 Å, 90.00 90.00 90.00°
With the nearest neighbours (Å) after each atom.
Positions (direct):
W  0.0000  0.0000  0.0000  12 W 2.70-2.97
W  0.5000  0.5000  0.3178  4 C 2.31
W  0.5000  0.5000  0.6822  4 C 2.31
C  0.0000  0.0000  0.5000  8 W 2.31

---

Record 7
W4C3: relaxed, GGA-PBEsol.

Cell: 9.7565 9.7565 9.7565 Å, 163.04 163.04 24.07°
With the nearest neighbours (Å) after each atom.
Positions (direct):
W  0.0674  0.0674  0.0000  5 C 2.41-2.57, 1 W 2.57
W  0.3234  0.3234  0.0000  5 C 2.09-2.32
W  0.6766  0.6766  0.0000  5 C 2.09-2.32
W  0.9326  0.9326  0.0000  5 C 2.41-2.57, 1 W 2.57
C  0.2018  0.2018  0.0000  5 W 2.09-2.32
C  0.5000  0.5000  0.0000  8 W 2.41
C  0.7982  0.7982  0.0000  5 W 2.09-2.32

---

Record 8
W2C3: relaxed, GGA-PBEsol.

Cell: 3.7362 3.7362 4.2309 Å, 90.00 90.00 120.00°
With the nearest neighbours (Å) after each atom.
Positions (direct):
W  0.3333  0.6667  0.2755  5 C 2.07-2.17
W  0.6667  0.3333  0.7245  5 C 2.07-2.17
C  0.0000  0.0000  0.5000  6 W 2.36, 6 C 2.47
C  0.3333  0.6667  0.7852  5 W 2.07-2.17
C  0.6667  0.3333  0.2148  5 W 2.07-2.17

---

no.,density of states at the Fermi level (states/eV/f.u.),energy relative to the elements (eV/f.u.)
1,2.7,-0.7
2,0.4,3.9
3,0.3,0.3
4,2.9,15.0
5,2.6,3.7
6,2.0,2.0
7,3.6,3.0
8,2.7,5.0